VASP calculation (GGA-PBE) on an optimized crystal structure of Zn6TePd12.

Lattice parameters (Å, degrees): 10.7520 10.7520 9.8844 90.00 90.00 120.00
Space group R-3 (No. 148, hexagonal axes)
Unique sites:
Zn  0.0442  0.8651  0.1911
Te  0.0000  0.0000  0.5000
Pd  0.0513  0.7910  0.4377
Pd  0.0733  0.5934  0.6031

V   330 Å³/f.u.
E_form (uncorrected)   -0.1761 eV per atom

***

VASP calculation (GGA-PBE) on an optimized crystal structure of ZnTePd14.

Lattice parameters (Å, degrees): 9.110 5.819 9.470 90.00 90.00 90.00
Space group Amm2 (No. 38)
Unique sites:
Zn  0.000  0.000  0.000
Te  0.000  0.000  0.504
Pd  0.000  0.247  0.257
Pd  0.243  0.249  0.064
Pd  0.251  0.000  0.817
Pd  0.256  0.000  0.313
Pd  0.500  0.000  0.131
Pd  0.500  0.000  0.634
Pd  0.500  0.250  0.384

V   251 Å³/f.u.
E_form (uncorrected)   -0.1122 eV per atom

***

VASP calculation (GGA-PBE) on an optimized crystal structure of Zn2TePd2.

Lattice parameters (Å, degrees): 3.630 3.630 13.408 90.00 90.00 90.00
Space group I4/mmm (No. 139)
Unique sites:
Zn  0.000  0.500  0.250
Te  0.000  0.000  0.000
Pd  0.000  0.000  0.395

V   88 Å³/f.u.
Polymorph energy (0 for the lowest one)   61 meV per atom
E_form (uncorrected)   -0.2521 eV per atom

***

VASP calculation (GGA-PBE) on an optimized crystal structure of ZrTe3Pd.

Lattice parameters (Å, degrees): 5.211 5.211 5.211 90.00 90.00 90.00
Space group Pm-3m (No. 221)
Unique sites:
Zr  0.000  0.000  0.000
Te  0.000  0.500  0.500
Pd  0.500  0.500  0.500

V   142 Å³/f.u.
Polymorph energy (0 for the lowest one)   882 meV per atom
E_form (uncorrected)   0.2638 eV per atom